## Tb2PrHg (PBE)

Data for Tb2PrHg after structural relaxation.

```
data_Tb2PrHg
_symmetry_space_group_name_H-M 'R 3 m'
_symmetry_Int_Tables_number 160
_symmetry_space_group_name_Hall 'R 3 -2"'
_cell_length_a 3.6875
_cell_length_b 3.6875
_cell_length_c 31.9885
_cell_angle_alpha 90.00
_cell_angle_beta 90.00
_cell_angle_gamma 120.00
loop_
_atom_site_label
_atom_site_fract_x
_atom_site_fract_y
_atom_site_fract_z
_atom_site_occupancy
Tb1 0.0000 0.0000 0.0000 1
Tb2 0.0000 0.0000 0.1857 1
Pr1 0.0000 0.0000 0.4262 1
Hg1 0.0000 0.0000 0.5927 1
```

The formation enthalpy at 0 K is -57.9 kJ/mol of formula units. The value obtained for the energy above the most stable polymorph in this dataset is 8.1 kJ per mole of atoms. The total magnetic moment is 0.000 μB per cell. As for the total energy: -3.736 eV/atom.



## Tb2Pr3Hg4 (PBE)

Data for Tb2Pr3Hg4 after structural relaxation.

```
data_Tb2Pr3Hg4
_symmetry_space_group_name_H-M 'C m c e'
_symmetry_Int_Tables_number 64
_symmetry_space_group_name_Hall '-C 2ac 2'
_cell_length_a 6.933
_cell_length_b 19.431
_cell_length_c 8.079
_cell_angle_alpha 90.00
_cell_angle_beta 90.00
_cell_angle_gamma 90.00
loop_
_atom_site_label
_atom_site_fract_x
_atom_site_fract_y
_atom_site_fract_z
_atom_site_occupancy
Tb1 0.000 0.093 0.085 1
Pr1 0.000 0.000 0.500 1
Pr2 0.250 0.240 0.750 1
Hg1 0.000 0.158 0.460 1
Hg2 0.250 0.074 0.750 1
```

The formation enthalpy at 0 K is -237.9 kJ/mol of formula units. The total magnetic moment is 0.002 μB per cell. As for the total energy: -3.030 eV/atom.



## TbPrHg6 (PBE)

Data for TbPrHg6 after structural relaxation.

```
data_TbPrHg6
_symmetry_space_group_name_H-M 'A m m 2'
_symmetry_Int_Tables_number 38
_cell_length_a 5.049
_cell_length_b 6.798
_cell_length_c 11.656
_cell_angle_alpha 90.00
_cell_angle_beta 90.00
_cell_angle_gamma 90.00
loop_
_symmetry_equiv_pos_as_xyz
'x,y,z'
'-x,-y,z'
'-x,y,z'
'x,-y,z'
'x,y+1/2,z+1/2'
'-x,-y+1/2,z+1/2'
'-x,y+1/2,z+1/2'
'x,-y+1/2,z+1/2'
loop_
_atom_site_label
_atom_site_fract_x
_atom_site_fract_y
_atom_site_fract_z
_atom_site_occupancy
Tb1 0.000 0.000 0.000 1
Pr1 0.500 0.000 0.325 1
Hg1 0.000 0.000 0.498 1
Hg2 0.000 0.238 0.744 1
Hg3 0.500 0.000 0.832 1
Hg4 0.500 0.246 0.577 1
```

The formation enthalpy at 0 K is -286.9 kJ/mol of formula units. The total magnetic moment is 0.000 μB per cell. As for the total energy: -1.774 eV/atom.



## Tb2PrHg8 (PBE)

Data for Tb2PrHg8 after structural relaxation.

```
data_Tb2PrHg8
_symmetry_space_group_name_H-M 'I m m m'
_symmetry_Int_Tables_number 71
_symmetry_space_group_name_Hall '-I 2 2'
_cell_length_a 5.136
_cell_length_b 7.431
_cell_length_c 14.822
_cell_angle_alpha 90.00
_cell_angle_beta 90.00
_cell_angle_gamma 90.00
loop_
_atom_site_label
_atom_site_fract_x
_atom_site_fract_y
_atom_site_fract_z
_atom_site_occupancy
Tb1 0.000 0.000 0.190 1
Pr1 0.000 0.000 0.500 1
Hg1 0.000 0.205 0.000 1
Hg2 0.000 0.287 0.348 1
Hg3 0.000 0.500 0.158 1
```

The formation enthalpy at 0 K is -342.4 kJ/mol of formula units. The value obtained for the energy above the most stable polymorph in this dataset is 1.2 kJ per mole of atoms. The total magnetic moment is 0.000 μB per cell. As for the total energy: -1.818 eV/atom.



## Tb3Pr12Hg (PBE)

Data for Tb3Pr12Hg after structural relaxation.

```
data_Tb3Pr12Hg
_symmetry_space_group_name_H-M 'P 4/m m m'
_symmetry_Int_Tables_number 123
_symmetry_space_group_name_Hall '-P 4 2'
_cell_length_a 5.125
_cell_length_b 5.125
_cell_length_c 20.798
_cell_angle_alpha 90.00
_cell_angle_beta 90.00
_cell_angle_gamma 90.00
loop_
_atom_site_label
_atom_site_fract_x
_atom_site_fract_y
_atom_site_fract_z
_atom_site_occupancy
Tb1 0.000 0.000 0.000 1
Tb2 0.000 0.000 0.253 1
Pr1 0.000 0.500 0.127 1
Pr2 0.000 0.500 0.379 1
Pr3 0.500 0.500 0.000 1
Pr4 0.500 0.500 0.255 1
Pr5 0.500 0.500 0.500 1
Hg1 0.000 0.000 0.500 1
```

The formation enthalpy at 0 K is -39.1 kJ/mol of formula units. The total magnetic moment is 0.000 μB per cell. As for the total energy: -4.497 eV/atom.



## TbPr2Hg (PBE)

Data for TbPr2Hg after structural relaxation.

```
data_TbPr2Hg
_symmetry_space_group_name_H-M 'R -3 m'
_symmetry_Int_Tables_number 166
_symmetry_space_group_name_Hall '-R 3 2"'
_cell_length_a 3.7038
_cell_length_b 3.7038
_cell_length_c 32.8537
_cell_angle_alpha 90.00
_cell_angle_beta 90.00
_cell_angle_gamma 120.00
loop_
_atom_site_label
_atom_site_fract_x
_atom_site_fract_y
_atom_site_fract_z
_atom_site_occupancy
Tb1 0.0000 0.0000 0.0000 1
Pr1 0.0000 0.0000 0.2440 1
Hg1 0.0000 0.0000 0.5000 1
```

The formation enthalpy at 0 K is -51.3 kJ/mol of formula units. The value obtained for the energy above the most stable polymorph in this dataset is 9.5 kJ per mole of atoms. The total magnetic moment is 0.000 μB per cell. As for the total energy: -3.756 eV/atom.



## TbPr4Hg2 (PBE)

Data for TbPr4Hg2 after structural relaxation.

```
data_TbPr4Hg2
_symmetry_space_group_name_H-M 'P 1'
_symmetry_Int_Tables_number 1
_cell_length_a 5.880
_cell_length_b 8.667
_cell_length_c 9.589
_cell_angle_alpha 88.53
_cell_angle_beta 72.23
_cell_angle_gamma 70.27
loop_
_symmetry_equiv_pos_as_xyz
'x,y,z'
loop_
_atom_site_label
_atom_site_fract_x
_atom_site_fract_y
_atom_site_fract_z
_atom_site_occupancy
Tb1 0.000 0.000 0.000 1
Tb2 0.391 0.227 0.989 1
Pr1 0.117 0.611 0.150 1
Pr2 0.183 0.254 0.372 1
Pr3 0.205 0.982 0.605 1
Pr4 0.476 0.855 0.193 1
Pr5 0.537 0.304 0.618 1
Pr6 0.691 0.846 0.771 1
Pr7 0.709 0.348 0.226 1
Pr8 0.853 0.431 0.860 1
Hg1 0.190 0.629 0.483 1
Hg2 0.266 0.653 0.813 1
Hg3 0.695 0.630 0.482 1
Hg4 0.823 0.981 0.372 1
```

The formation enthalpy at 0 K is -101.0 kJ/mol of formula units. The total magnetic moment is 0.000 μB per cell. As for the total energy: -3.628 eV/atom.



## Tb5Pr4Hg (PBE)

Data for Tb5Pr4Hg after structural relaxation.

```
data_Tb5Pr4Hg
_symmetry_space_group_name_H-M 'P 4/m m m'
_symmetry_Int_Tables_number 123
_symmetry_space_group_name_Hall '-P 4 2'
_cell_length_a 3.654
_cell_length_b 3.654
_cell_length_c 24.309
_cell_angle_alpha 90.00
_cell_angle_beta 90.00
_cell_angle_gamma 90.00
loop_
_atom_site_label
_atom_site_fract_x
_atom_site_fract_y
_atom_site_fract_z
_atom_site_occupancy
Tb1 0.000 0.000 0.000 1
Tb2 0.000 0.000 0.210 1
Tb3 0.000 0.000 0.420 1
Pr1 0.500 0.500 0.105 1
Pr2 0.500 0.500 0.315 1
Hg1 0.500 0.500 0.500 1
```

The formation enthalpy at 0 K is -80.6 kJ/mol of formula units. The total magnetic moment is 0.000 μB per cell. As for the total energy: -4.341 eV/atom.



## Tb7PrHg4 (PBE)

Data for Tb7PrHg4 after structural relaxation.

```
data_Tb7PrHg4
_symmetry_space_group_name_H-M 'C 1 2/m 1'
_symmetry_Int_Tables_number 12
_cell_length_a 14.719
_cell_length_b 5.740
_cell_length_c 9.788
_cell_angle_alpha 90.00
_cell_angle_beta 122.42
_cell_angle_gamma 90.00
loop_
_symmetry_equiv_pos_as_xyz
'x,y,z'
'-x,-y,-z'
'-x,y,-z'
'x,-y,z'
'x+1/2,y+1/2,z'
'-x+1/2,-y+1/2,-z'
'-x+1/2,y+1/2,-z'
'x+1/2,-y+1/2,z'
loop_
_atom_site_label
_atom_site_fract_x
_atom_site_fract_y
_atom_site_fract_z
_atom_site_occupancy
Tb1 0.000 0.000 0.000 1
Tb2 0.066 0.500 0.405 1
Tb3 0.207 0.500 0.884 1
Tb4 0.230 0.000 0.681 1
Pr1 0.000 0.500 0.000 1
Hg1 0.046 0.000 0.725 1
Hg2 0.190 0.000 0.339 1
```

The formation enthalpy at 0 K is -132.9 kJ/mol of formula units. The total magnetic moment is 0.000 μB per cell. As for the total energy: -3.315 eV/atom.



## Tb2PrHg (PBE)

Data for Tb2PrHg after structural relaxation.

```
data_Tb2PrHg
_symmetry_space_group_name_H-M 'P 4/m m m'
_symmetry_Int_Tables_number 123
_symmetry_space_group_name_Hall '-P 4 2'
_cell_length_a 4.888
_cell_length_b 4.888
_cell_length_c 4.858
_cell_angle_alpha 90.00
_cell_angle_beta 90.00
_cell_angle_gamma 90.00
loop_
_atom_site_label
_atom_site_fract_x
_atom_site_fract_y
_atom_site_fract_z
_atom_site_occupancy
Tb1 0.000 0.500 0.000 1
Pr1 0.000 0.000 0.500 1
Hg1 0.500 0.500 0.500 1
```

The formation enthalpy at 0 K is -61.1 kJ/mol of formula units. The value obtained for the energy above the most stable polymorph in this dataset is 7.3 kJ per mole of atoms. The total magnetic moment is 0.008 μB per cell. As for the total energy: -3.744 eV/atom.



## Tb3PrHg2 (PBE)

Data for Tb3PrHg2 after structural relaxation.

```
data_Tb3PrHg2
_symmetry_space_group_name_H-M 'P m c 21'
_symmetry_Int_Tables_number 26
_cell_length_a 5.146
_cell_length_b 9.377
_cell_length_c 7.230
_cell_angle_alpha 90.00
_cell_angle_beta 90.00
_cell_angle_gamma 90.00
loop_
_symmetry_equiv_pos_as_xyz
'x,y,z'
'-x,-y,z+1/2'
'-x,y,z'
'x,-y,z+1/2'
loop_
_atom_site_label
_atom_site_fract_x
_atom_site_fract_y
_atom_site_fract_z
_atom_site_occupancy
Tb1 0.000 0.058 0.000 1
Tb2 0.000 0.321 0.348 1
Tb3 0.500 0.171 0.683 1
Pr1 0.500 0.442 0.030 1
Hg1 0.000 0.350 0.771 1
Hg2 0.500 0.145 0.258 1
```

The formation enthalpy at 0 K is -198.0 kJ/mol of formula units. The value obtained for the energy above the most stable polymorph in this dataset is 0.0 kJ per mole of atoms. The total magnetic moment is 0.000 μB per cell. As for the total energy: -3.554 eV/atom.



## TbPr2Hg (PBE)

Data for TbPr2Hg after structural relaxation.

```
data_TbPr2Hg
_symmetry_space_group_name_H-M 'P 4/n m m'
_symmetry_Int_Tables_number 129
_cell_length_a 5.278
_cell_length_b 5.278
_cell_length_c 8.981
_cell_angle_alpha 90.00
_cell_angle_beta 90.00
_cell_angle_gamma 90.00
loop_
_symmetry_equiv_pos_as_xyz
'x,y,z'
'-x,-y,-z'
'-y+1/2,x,z'
'y+1/2,-x,-z'
'-x+1/2,-y+1/2,z'
'x+1/2,y+1/2,-z'
'y,-x+1/2,z'
'-y,x+1/2,-z'
'x+1/2,-y,-z'
'-x+1/2,y,z'
'-y,-x,-z'
'y,x,z'
'-x,y+1/2,-z'
'x,-y+1/2,z'
'y+1/2,x+1/2,-z'
'-y+1/2,-x+1/2,z'
loop_
_atom_site_label
_atom_site_fract_x
_atom_site_fract_y
_atom_site_fract_z
_atom_site_occupancy
Tb1 0.250 0.250 0.214 1
Pr1 0.250 0.250 0.779 1
Pr2 0.250 0.750 0.500 1
Hg1 0.250 0.750 0.000 1
```

The formation enthalpy at 0 K is -89.5 kJ/mol of formula units. The value obtained for the energy above the most stable polymorph in this dataset is 0.0 kJ per mole of atoms. The total magnetic moment is 0.001 μB per cell. As for the total energy: -3.855 eV/atom.



## Tb12Pr5Hg3 (PBE)

Data for Tb12Pr5Hg3 after structural relaxation.

```
data_Tb12Pr5Hg3
_symmetry_space_group_name_H-M 'I a -3 d'
_symmetry_Int_Tables_number 230
_symmetry_space_group_name_Hall '-I 4bd 2c 3'
_cell_length_a 17.972
_cell_length_b 17.972
_cell_length_c 17.972
_cell_angle_alpha 90.00
_cell_angle_beta 90.00
_cell_angle_gamma 90.00
loop_
_atom_site_label
_atom_site_fract_x
_atom_site_fract_y
_atom_site_fract_z
_atom_site_occupancy
Tb1 0.009 0.081 0.653 1
Pr1 0.000 0.000 0.000 1
Pr2 0.000 0.250 0.375 1
Hg1 0.000 0.250 0.125 1
```

The formation enthalpy at 0 K is 1417.4 kJ/mol of formula units. The total magnetic moment is 0.000 μB per cell. As for the total energy: -3.284 eV/atom.



## TbPr7Hg4 (PBE)

Data for TbPr7Hg4 after structural relaxation.

```
data_TbPr7Hg4
_symmetry_space_group_name_H-M 'C 1 2/m 1'
_symmetry_Int_Tables_number 12
_cell_length_a 15.109
_cell_length_b 5.901
_cell_length_c 10.182
_cell_angle_alpha 90.00
_cell_angle_beta 123.11
_cell_angle_gamma 90.00
loop_
_symmetry_equiv_pos_as_xyz
'x,y,z'
'-x,-y,-z'
'-x,y,-z'
'x,-y,z'
'x+1/2,y+1/2,z'
'-x+1/2,-y+1/2,-z'
'-x+1/2,y+1/2,-z'
'x+1/2,-y+1/2,z'
loop_
_atom_site_label
_atom_site_fract_x
_atom_site_fract_y
_atom_site_fract_z
_atom_site_occupancy
Tb1 0.000 0.000 0.000 1
Pr1 0.000 0.500 0.000 1
Pr2 0.062 0.000 0.399 1
Pr3 0.214 0.000 0.896 1
Pr4 0.231 0.500 0.684 1
Hg1 0.046 0.500 0.729 1
Hg2 0.189 0.500 0.344 1
```

The formation enthalpy at 0 K is -158.5 kJ/mol of formula units. The total magnetic moment is 0.000 μB per cell. As for the total energy: -3.411 eV/atom.



## Tb8PrHg6 (PBE)

Data for Tb8PrHg6 after structural relaxation.

```
data_Tb8PrHg6
_symmetry_space_group_name_H-M 'R -3'
_symmetry_Int_Tables_number 148
_symmetry_space_group_name_Hall '-R 3'
_cell_length_a 9.0166
_cell_length_b 9.0166
_cell_length_c 19.0627
_cell_angle_alpha 90.00
_cell_angle_beta 90.00
_cell_angle_gamma 120.00
loop_
_atom_site_label
_atom_site_fract_x
_atom_site_fract_y
_atom_site_fract_z
_atom_site_occupancy
Tb1 0.0000 0.0000 0.1692 1
Tb2 0.0047 0.6774 0.6134 1
Pr1 0.0000 0.0000 0.5000 1
Hg1 0.0003 0.3449 0.5580 1
```

The formation enthalpy at 0 K is -348.9 kJ/mol of formula units. The total magnetic moment is 5.992 μB per cell. As for the total energy: -3.150 eV/atom.



## TbPr3Hg4 (PBE)

Data for TbPr3Hg4 after structural relaxation.

```
data_TbPr3Hg4
_symmetry_space_group_name_H-M 'P 4/m m m'
_symmetry_Int_Tables_number 123
_symmetry_space_group_name_Hall '-P 4 2'
_cell_length_a 3.819
_cell_length_b 3.819
_cell_length_c 15.445
_cell_angle_alpha 90.00
_cell_angle_beta 90.00
_cell_angle_gamma 90.00
loop_
_atom_site_label
_atom_site_fract_x
_atom_site_fract_y
_atom_site_fract_z
_atom_site_occupancy
Tb1 0.000 0.000 0.000 1
Pr1 0.000 0.000 0.245 1
Pr2 0.000 0.000 0.500 1
Hg1 0.500 0.500 0.114 1
Hg2 0.500 0.500 0.374 1
```

The formation enthalpy at 0 K is -365.3 kJ/mol of formula units. The total magnetic moment is 1.656 μB per cell. As for the total energy: -2.995 eV/atom.



## Tb5PrHg4 (PBE)

Data for Tb5PrHg4 after structural relaxation.

```
data_Tb5PrHg4
_symmetry_space_group_name_H-M 'P 4/m m m'
_symmetry_Int_Tables_number 123
_symmetry_space_group_name_Hall '-P 4 2'
_cell_length_a 3.713
_cell_length_b 3.713
_cell_length_c 20.110
_cell_angle_alpha 90.00
_cell_angle_beta 90.00
_cell_angle_gamma 90.00
loop_
_atom_site_label
_atom_site_fract_x
_atom_site_fract_y
_atom_site_fract_z
_atom_site_occupancy
Tb1 0.000 0.000 0.000 1
Tb2 0.000 0.000 0.187 1
Tb3 0.000 0.000 0.374 1
Pr1 0.500 0.500 0.500 1
Hg1 0.500 0.500 0.095 1
Hg2 0.500 0.500 0.283 1
```

The formation enthalpy at 0 K is -366.5 kJ/mol of formula units. The total magnetic moment is 0.537 μB per cell. As for the total energy: -3.294 eV/atom.



## TbPrHg2 (PBE)

Data for TbPrHg2 after structural relaxation.

```
data_TbPrHg2
_symmetry_space_group_name_H-M 'R 3 m'
_symmetry_Int_Tables_number 160
_symmetry_space_group_name_Hall 'R 3 -2"'
_cell_length_a 3.8326
_cell_length_b 3.8326
_cell_length_c 27.9600
_cell_angle_alpha 90.00
_cell_angle_beta 90.00
_cell_angle_gamma 120.00
loop_
_atom_site_label
_atom_site_fract_x
_atom_site_fract_y
_atom_site_fract_z
_atom_site_occupancy
Tb1 0.0000 0.0000 0.0000 1
Pr1 0.0000 0.0000 0.1663 1
Hg1 0.0000 0.0000 0.4130 1
Hg2 0.0000 0.0000 0.5865 1
```

The formation enthalpy at 0 K is -128.3 kJ/mol of formula units. The value obtained for the energy above the most stable polymorph in this dataset is 14.0 kJ per mole of atoms. The total magnetic moment is 0.000 μB per cell. As for the total energy: -2.836 eV/atom.



## TbPr2HgTe5 (PBE)

Data for TbPr2HgTe5 after structural relaxation.

```
data_TbPr2HgTe5
_symmetry_space_group_name_H-M 'C m c 21'
_symmetry_Int_Tables_number 36
_cell_length_a 4.414
_cell_length_b 19.134
_cell_length_c 13.608
_cell_angle_alpha 90.00
_cell_angle_beta 90.00
_cell_angle_gamma 90.00
loop_
_symmetry_equiv_pos_as_xyz
'x,y,z'
'-x,-y,z+1/2'
'-x,y,z'
'x,-y,z+1/2'
'x+1/2,y+1/2,z'
'-x+1/2,-y+1/2,z+1/2'
'-x+1/2,y+1/2,z'
'x+1/2,-y+1/2,z+1/2'
loop_
_atom_site_label
_atom_site_fract_x
_atom_site_fract_y
_atom_site_fract_z
_atom_site_occupancy
Tb1 0.000 0.191 0.000 1
Pr1 0.000 0.121 0.681 1
Pr2 0.000 0.127 0.301 1
Hg1 0.000 0.436 0.465 1
Te1 0.000 0.040 0.092 1
Te2 0.000 0.291 0.661 1
Te3 0.000 0.299 0.333 1
Te4 0.000 0.355 0.996 1
Te5 0.000 0.497 0.277 1
```

The total magnetic moment is 0.000 μB per cell. For the raw formation energy, the calculation gives -1.120 eV per atom. As for the total energy: -4.476 eV/atom.